(1)
# LaReOs2

LaReOs2 at its PBEsol-relaxed geometry (meta-GGA SCAN, Alexandria).

a b c (Å): 2.839 4.846 10.227
angles (deg): 90.00 90.00 90.00
Space group Imm2 (No. 44)
One atom of each set of equivalent atoms:
La: 0.000 0.000 0.000 [2 per cell]
Re: 0.000 0.500 0.216 [2 per cell]
Os: 0.000 0.000 0.498 [2 per cell]
Os: 0.000 0.500 0.780 [2 per cell]

Computed properties:
ΔE to the lowest computed polymorph (meV/atom): 116

=====

(2)
# La2ReOs

La2ReOs at its PBEsol-relaxed geometry (meta-GGA SCAN, Alexandria).

a b c (Å): 3.000 4.004 7.987
angles (deg): 90.00 90.83 90.00
Space group Pm (No. 6)
One atom of each set of equivalent atoms:
La: 0.000 0.000 0.000 [1 per cell]
La: 0.198 0.500 0.603 [1 per cell]
Re: 0.779 0.000 0.349 [1 per cell]
Os: 0.390 0.500 0.244 [1 per cell]

Computed properties:
ΔE to the lowest computed polymorph (meV/atom): 313

=====

(3)
# LaReOs

LaReOs at its PBEsol-relaxed geometry (meta-GGA SCAN, Alexandria).

a b c (Å): 6.213 6.213 6.213
angles (deg): 90.00 90.00 90.00
Space group F-43m (No. 216)
One atom of each set of equivalent atoms:
La: 0.000 0.000 0.000 [4 per cell]
Re: 0.250 0.250 0.750 [4 per cell]
Os: 0.250 0.250 0.250 [4 per cell]

Computed properties:
ΔE to the lowest computed polymorph (meV/atom): 2036

=====

(4)
# LaReOs2

LaReOs2 at its PBEsol-relaxed geometry (meta-GGA SCAN, Alexandria).

a b c (Å): 2.8227 2.8227 29.4552
angles (deg): 90.00 90.00 120.00
Space group R-3m (No. 166, hexagonal axes)
One atom of each set of equivalent atoms:
La: 0.0000 0.0000 0.0000 [3 per cell]
Re: 0.0000 0.0000 0.5000 [3 per cell]
Os: 0.0000 0.0000 0.2381 [6 per cell]

Computed properties:
ΔE to the lowest computed polymorph (meV/atom): 73

=====

(5)
# LaReOs2

LaReOs2 at its PBEsol-relaxed geometry (meta-GGA SCAN, Alexandria).

a b c (Å): 2.823 2.823 8.647
angles (deg): 90.00 90.00 90.00
Space group P4mm (No. 99)
One atom of each set of equivalent atoms:
La: 0.000 0.000 0.000 [1 per cell]
Re: 0.500 0.500 0.704 [1 per cell]
Os: 0.000 0.000 0.492 [1 per cell]
Os: 0.500 0.500 0.292 [1 per cell]

Computed properties:
ΔE to the lowest computed polymorph (meV/atom): 0

=====

(6)
# LaRe2Os

LaRe2Os at its PBEsol-relaxed geometry (meta-GGA SCAN, Alexandria).

a b c (Å): 10.063 2.894 5.070
angles (deg): 90.00 103.49 90.00
Space group C2/m (No. 12)
One atom of each set of equivalent atoms:
La: 0.000 0.000 0.000 [2 per cell]
Re: 0.220 0.000 0.693 [4 per cell]
Os: 0.000 0.500 0.500 [2 per cell]

=====

What calculated formation energy values result from the calculations? In sequence: 0.579; 0.230; 1.975; 0.535; 0.463; 0.509 eV per atom.
What total DFT energy (no corrections) values result from the calculations? In sequence: -63.912; -57.066; -60.052; -63.955; -64.028; -63.786 eV per atom.